Record 1
Here is BeSe3 after structural relaxation from the Alexandria database. Energies are from PBE-GGA.

Properties
V	85.1	Å³/f.u.
offset from the most stable computed form	0.114	eV per atom
theoretical density	4.80	Mg/m³
E_tot	-13.96	eV per formula unit
raw formation energy	0.054	eV per atom
space-group type	Imm2

Geometry as CIF:
```
data_BeSe3
_chemical_formula_sum 'Be1 Se3'
_symmetry_space_group_name_H-M 'P 1'
_symmetry_Int_Tables_number 1
_cell_length_a 6.161
_cell_length_b 6.161
_cell_length_c 6.161
_cell_angle_alpha 146.79
_cell_angle_beta 54.54
_cell_angle_gamma 138.03
loop_
_symmetry_equiv_pos_as_xyz
'x,y,z'
loop_
_atom_site_label
_atom_site_fract_x
_atom_site_fract_y
_atom_site_fract_z
Be1 0.000 0.000 0.000
Se1 0.008 0.654 0.354
Se2 0.300 0.654 0.646
Se3 0.608 0.108 0.500
```

---

Record 2
Here is ScMn2Fe after structural relaxation from the Alexandria database. Energies are from PBE-GGA.

Properties
V	54.3	Å³/f.u.
formation energy	0.205	eV/atom
offset from the most stable computed form	0.109	eV per atom
theoretical density	6.44	Mg/m³
E_tot	-32.31	eV per formula unit
space-group type	Pm

Geometry as CIF:
```
data_ScMn2Fe
_chemical_formula_sum 'Sc1 Mn2 Fe1'
_symmetry_space_group_name_H-M 'P 1'
_symmetry_Int_Tables_number 1
_cell_length_a 2.702
_cell_length_b 3.852
_cell_length_c 5.361
_cell_angle_alpha 90.00
_cell_angle_beta 103.19
_cell_angle_gamma 90.00
loop_
_symmetry_equiv_pos_as_xyz
'x,y,z'
loop_
_atom_site_label
_atom_site_fract_x
_atom_site_fract_y
_atom_site_fract_z
Sc1 0.000 0.000 0.000
Mn1 0.031 0.000 0.507
Mn2 0.447 0.500 0.698
Fe1 0.561 0.500 0.272
```

---

Record 3
Here is Ba2La3Ti3NbO15 after structural relaxation from the Alexandria database. Energies are from PBE-GGA.

Properties
V	327.3	Å³/f.u.
theoretical density	5.93	Mg/m³
E_tot	-202.88	eV per formula unit
raw formation energy	-3.172	eV per atom
space-group type	P3c1

Geometry as CIF:
```
data_Ba2La3Ti3NbO15
_chemical_formula_sum 'Ba4 La6 Ti6 Nb2 O30'
_symmetry_space_group_name_H-M 'P 1'
_symmetry_Int_Tables_number 1
_cell_length_a 5.678
_cell_length_b 5.678
_cell_length_c 23.445
_cell_angle_alpha 90.00
_cell_angle_beta 90.00
_cell_angle_gamma 120.00
loop_
_symmetry_equiv_pos_as_xyz
'x,y,z'
loop_
_atom_site_label
_atom_site_fract_x
_atom_site_fract_y
_atom_site_fract_z
Ba1 0.000 0.000 0.000
Ba2 0.000 0.000 0.500
Ba3 0.333 0.667 0.428
Ba4 0.333 0.667 0.928
La1 0.000 0.000 0.314
La2 0.000 0.000 0.814
La3 0.333 0.667 0.102
La4 0.333 0.667 0.602
La5 0.667 0.333 0.210
La6 0.667 0.333 0.710
Ti1 0.000 0.000 0.160
Ti2 0.000 0.000 0.660
Ti3 0.333 0.667 0.258
Ti4 0.333 0.667 0.758
Ti5 0.667 0.333 0.058
Ti6 0.667 0.333 0.558
Nb1 0.667 0.333 0.363
Nb2 0.667 0.333 0.863
O1 0.000 0.469 0.025
O2 0.000 0.531 0.525
O3 0.103 0.333 0.213
O4 0.103 0.770 0.713
O5 0.230 0.333 0.713
O6 0.230 0.897 0.213
O7 0.326 0.123 0.399
O8 0.326 0.203 0.899
O9 0.334 0.109 0.621
O10 0.334 0.225 0.121
O11 0.437 0.004 0.803
O12 0.437 0.433 0.303
O13 0.469 0.000 0.025
O14 0.469 0.469 0.525
O15 0.531 0.000 0.525
O16 0.531 0.531 0.025
O17 0.567 0.004 0.303
O18 0.567 0.563 0.803
O19 0.667 0.770 0.213
O20 0.667 0.897 0.713
O21 0.775 0.109 0.121
O22 0.775 0.666 0.621
O23 0.797 0.123 0.899
O24 0.797 0.674 0.399
O25 0.877 0.203 0.399
O26 0.877 0.674 0.899
O27 0.891 0.225 0.621
O28 0.891 0.666 0.121
O29 0.996 0.433 0.803
O30 0.996 0.563 0.303
```

---

Record 4
Here is ScInRh2 after structural relaxation from the Alexandria database. Energies are from PBE-GGA.

Properties
V	74.2	Å³/f.u.
formation energy	-0.271	eV/atom
theoretical density	8.18	Mg/m³
E_tot	-24.86	eV per formula unit
space-group type	I-42d

Geometry as CIF:
```
data_ScInRh2
_chemical_formula_sum 'Sc2 In2 Rh4'
_symmetry_space_group_name_H-M 'P 1'
_symmetry_Int_Tables_number 1
_cell_length_a 5.809
_cell_length_b 5.809
_cell_length_c 5.809
_cell_angle_alpha 105.49
_cell_angle_beta 105.49
_cell_angle_gamma 117.77
loop_
_symmetry_equiv_pos_as_xyz
'x,y,z'
loop_
_atom_site_label
_atom_site_fract_x
_atom_site_fract_y
_atom_site_fract_z
Sc1 0.000 0.000 0.000
Sc2 0.750 0.250 0.500
In1 0.250 0.750 0.500
In2 0.500 0.500 0.000
Rh1 0.112 0.625 0.987
Rh2 0.375 0.362 0.487
Rh3 0.638 0.125 0.013
Rh4 0.875 0.888 0.513
```

---

Record 5
Here is CoCuRe2 after structural relaxation from the Alexandria database. Energies are from PBE-GGA.

Properties
V	54.8	Å³/f.u.
formation energy	0.319	eV/atom
offset from the most stable computed form	0.160	eV per atom
theoretical density	14.99	Mg/m³
E_tot	-34.82	eV per formula unit
space-group type	Cmm2

Geometry as CIF:
```
data_CoCuRe2
_chemical_formula_sum 'Co1 Cu1 Re2'
_symmetry_space_group_name_H-M 'P 1'
_symmetry_Int_Tables_number 1
_cell_length_a 2.625
_cell_length_b 2.625
_cell_length_c 8.429
_cell_angle_alpha 90.00
_cell_angle_beta 90.00
_cell_angle_gamma 109.29
loop_
_symmetry_equiv_pos_as_xyz
'x,y,z'
loop_
_atom_site_label
_atom_site_fract_x
_atom_site_fract_y
_atom_site_fract_z
Co1 0.000 0.000 0.000
Cu1 0.500 0.500 0.763
Re1 0.000 0.000 0.504
Re2 0.500 0.500 0.239
```

---

Record 6
Here is La2ReSe after structural relaxation from the Alexandria database. Energies are from PBE-GGA.

Properties
V	112.6	Å³/f.u.
theoretical density	8.01	Mg/m³
E_tot	-27.38	eV per formula unit
raw formation energy	-0.397	eV per atom
space-group type	C2/m

Geometry as CIF:
```
data_La2ReSe
_chemical_formula_sum 'La2 Re1 Se1'
_symmetry_space_group_name_H-M 'P 1'
_symmetry_Int_Tables_number 1
_cell_length_a 4.080
_cell_length_b 4.080
_cell_length_c 8.207
_cell_angle_alpha 103.63
_cell_angle_beta 103.63
_cell_angle_gamma 58.85
loop_
_symmetry_equiv_pos_as_xyz
'x,y,z'
loop_
_atom_site_label
_atom_site_fract_x
_atom_site_fract_y
_atom_site_fract_z
La1 0.250 0.250 0.241
La2 0.750 0.750 0.759
Re1 0.500 0.500 0.000
Se1 0.000 0.000 0.500
```

---

Record 7
Here is Dy2TlHg after structural relaxation from the Alexandria database. Energies are from PBE-GGA.

Properties
V	114.9	Å³/f.u.
formation energy	-0.270	eV/atom
theoretical density	10.55	Mg/m³
E_tot	-12.95	eV per formula unit
space-group type	Cm

Geometry as CIF:
```
data_Dy2TlHg
_chemical_formula_sum 'Dy2 Tl1 Hg1'
_symmetry_space_group_name_H-M 'P 1'
_symmetry_Int_Tables_number 1
_cell_length_a 3.747
_cell_length_b 3.747
_cell_length_c 9.697
_cell_angle_alpha 101.23
_cell_angle_beta 101.23
_cell_angle_gamma 59.98
loop_
_symmetry_equiv_pos_as_xyz
'x,y,z'
loop_
_atom_site_label
_atom_site_fract_x
_atom_site_fract_y
_atom_site_fract_z
Dy1 0.000 0.000 0.000
Dy2 0.173 0.173 0.521
Tl1 0.421 0.421 0.262
Hg1 0.587 0.587 0.762
```

---

Record 8
Here is BaYOs2F after structural relaxation from the Alexandria database. Energies are from PBE-GGA.

Properties
V	127.9	Å³/f.u.
theoretical density	8.12	Mg/m³
E_tot	-27.13	eV per formula unit
raw formation energy	1.118	eV per atom
space-group type	P4/mmm

Geometry as CIF:
```
data_BaYOs2F
_chemical_formula_sum 'Ba1 Y1 Os2 F1'
_symmetry_space_group_name_H-M 'P 1'
_symmetry_Int_Tables_number 1
_cell_length_a 5.246
_cell_length_b 5.246
_cell_length_c 4.649
_cell_angle_alpha 90.00
_cell_angle_beta 90.00
_cell_angle_gamma 90.00
loop_
_symmetry_equiv_pos_as_xyz
'x,y,z'
loop_
_atom_site_label
_atom_site_fract_x
_atom_site_fract_y
_atom_site_fract_z
Ba1 0.000 0.000 0.000
Y1 0.500 0.500 0.500
Os1 0.000 0.500 0.000
Os2 0.500 0.000 0.000
F1 0.000 0.000 0.500
```

---

Copy entry 3 word for word.
Here is Ba2La3Ti3NbO15 after structural relaxation from the Alexandria database. Energies are from PBE-GGA.

Properties
V	327.3	Å³/f.u.
theoretical density	5.93	Mg/m³
E_tot	-202.88	eV per formula unit
raw formation energy	-3.172	eV per atom
space-group type	P3c1

Geometry as CIF:
```
data_Ba2La3Ti3NbO15
_chemical_formula_sum 'Ba4 La6 Ti6 Nb2 O30'
_symmetry_space_group_name_H-M 'P 1'
_symmetry_Int_Tables_number 1
_cell_length_a 5.678
_cell_length_b 5.678
_cell_length_c 23.445
_cell_angle_alpha 90.00
_cell_angle_beta 90.00
_cell_angle_gamma 120.00
loop_
_symmetry_equiv_pos_as_xyz
'x,y,z'
loop_
_atom_site_label
_atom_site_fract_x
_atom_site_fract_y
_atom_site_fract_z
Ba1 0.000 0.000 0.000
Ba2 0.000 0.000 0.500
Ba3 0.333 0.667 0.428
Ba4 0.333 0.667 0.928
La1 0.000 0.000 0.314
La2 0.000 0.000 0.814
La3 0.333 0.667 0.102
La4 0.333 0.667 0.602
La5 0.667 0.333 0.210
La6 0.667 0.333 0.710
Ti1 0.000 0.000 0.160
Ti2 0.000 0.000 0.660
Ti3 0.333 0.667 0.258
Ti4 0.333 0.667 0.758
Ti5 0.667 0.333 0.058
Ti6 0.667 0.333 0.558
Nb1 0.667 0.333 0.363
Nb2 0.667 0.333 0.863
O1 0.000 0.469 0.025
O2 0.000 0.531 0.525
O3 0.103 0.333 0.213
O4 0.103 0.770 0.713
O5 0.230 0.333 0.713
O6 0.230 0.897 0.213
O7 0.326 0.123 0.399
O8 0.326 0.203 0.899
O9 0.334 0.109 0.621
O10 0.334 0.225 0.121
O11 0.437 0.004 0.803
O12 0.437 0.433 0.303
O13 0.469 0.000 0.025
O14 0.469 0.469 0.525
O15 0.531 0.000 0.525
O16 0.531 0.531 0.025
O17 0.567 0.004 0.303
O18 0.567 0.563 0.803
O19 0.667 0.770 0.213
O20 0.667 0.897 0.713
O21 0.775 0.109 0.121
O22 0.775 0.666 0.621
O23 0.797 0.123 0.899
O24 0.797 0.674 0.399
O25 0.877 0.203 0.399
O26 0.877 0.674 0.899
O27 0.891 0.225 0.621
O28 0.891 0.666 0.121
O29 0.996 0.433 0.803
O30 0.996 0.563 0.303
```